A plane-wave DFT calculation with PBE-GGA was carried out for a relaxed K2HfBr4Cl2 crystal.

Cell: 7.4904 7.4904 7.6356 Å, 120.26 120.26 61.12°
Positions (direct):
K (0.2466, 0.2466, 0.2504)
K (0.7534, 0.7534, 0.7496)
Hf (0.0000, 0.0000, 0.5000)
Br (0.2036, 0.7163, 0.2221)
Br (0.2837, 0.7964, 0.7779)
Br (0.7163, 0.2036, 0.2221)
Br (0.7964, 0.2837, 0.7779)
Cl (0.2280, 0.2280, 0.6512)
Cl (0.7720, 0.7720, 0.3488)

Summary:
The symmetry is C2/m (12). The uncorrected formation energy is -1.724 eV/atom. The value obtained for the uncorrected energy is -4.228 eV per atom.

=====

A plane-wave DFT calculation with PBE-GGA was carried out for a relaxed Th4FeTe2S crystal.

Cell: 7.3647 4.0577 7.8492 Å, 90.00 107.94 90.00°
Positions (direct):
Th (0.2107, 0.0000, 0.1971)
Th (0.2580, 0.5000, 0.7922)
Th (0.7420, 0.5000, 0.2078)
Th (0.7893, 0.0000, 0.8029)
Fe (0.0000, 0.5000, 0.0000)
Te (0.0000, 0.0000, 0.5000)
Te (0.5000, 0.5000, 0.5000)
S (0.5000, 0.0000, 0.0000)

Summary:
The symmetry is P2/m (10). The uncorrected formation energy is -1.047 eV/atom. The value obtained for the uncorrected energy is -7.116 eV per atom.